No. 1
Below is a relaxed structure of PmHo4Pu, with properties calculated at the PBE level.

Cell lengths 5.605, 10.995, 6.617 Å; angles 90.00, 115.06, 90.00 degrees
Sites, in units of the cell vectors:
Pu 0.863 0.912 0.727
Pm 0.334 0.244 0.668
Ho 0.826 0.454 0.651
Pu 0.137 0.412 0.273
Ho 0.982 0.179 0.964
Ho 0.174 0.954 0.349
Ho 0.018 0.679 0.036
Ho 0.469 0.964 0.938
Ho 0.672 0.180 0.345
Ho 0.531 0.464 0.062
Pm 0.666 0.744 0.332
Ho 0.328 0.680 0.655

Calculated values
* Fermi-level density of states: 25.4 states/eV/cell
* formation energy from the elements: 0.13 eV/atom
* SG: Cmc2_1 (36)
* mass density: 9.43 g/cm³
* VASP energy: -6.1053 eV/atom
* total magnetization: 6.55 μB/f.u.

=====

No. 2
Below is a relaxed structure of AcPt2Au5, with properties calculated at the PBE level.

Cell lengths 4.193, 6.733, 6.733 Å; angles 74.80, 71.86, 71.86 degrees
Sites, in units of the cell vectors:
Au 0.350 0.470 0.830
Ac 0.000 0.000 0.000
Pt 0.281 0.219 0.219
Pt 0.719 0.781 0.781
Au 0.650 0.530 0.170
Au 0.000 0.500 0.500
Au 0.350 0.830 0.470
Au 0.650 0.170 0.530

Calculated values
* Fermi-level density of states: 3.0 states/eV/cell
* formation energy from the elements: -0.34 eV/atom
* SG: Immm (71)
* mass density: 15.76 g/cm³
* VASP energy: -4.4134 eV/atom
* total magnetization: 0.00 μB/f.u.

=====

No. 3
Below is a relaxed structure of AlOs2Pt, with properties calculated at the PBE level.

Cell lengths 4.708, 4.708, 4.722 Å; angles 81.03, 81.03, 34.53 degrees
Sites, in units of the cell vectors:
Pt 0.501 0.501 0.474
Os 0.002 0.002 0.971
Al 0.251 0.251 0.271
Os 0.746 0.746 0.784

Calculated values
* Fermi-level density of states: 3.7 states/eV/cell
* formation energy from the elements: -0.16 eV/atom
* SG: Cm (8)
* mass density: 17.09 g/cm³
* VASP energy: -8.2228 eV/atom
* total magnetization: 0.00 μB/f.u.

=====

No. 4
Below is a relaxed structure of Nd2CdNi, with properties calculated at the PBE level.

Cell lengths 4.038, 4.038, 9.979 Å; angles 78.33, 78.33, 60.00 degrees
Sites, in units of the cell vectors:
Cd 0.000 0.000 0.000
Nd 0.884 0.884 0.347
Ni 0.500 0.500 0.500
Nd 0.116 0.116 0.653

Calculated values
* energy above the most stable polymorph in this dataset: 324 meV/atom
* Fermi-level density of states: 3.1 states/eV/cell
* formation energy from the elements: 0.05 eV/atom
* SG: R-3m (166)
* mass density: 5.57 g/cm³
* VASP energy: -4.0043 eV/atom
* total magnetization: 0.00 μB/f.u.

=====

No. 5
Below is a relaxed structure of ZrSbW, with properties calculated at the PBE level.

Cell lengths 3.389, 3.389, 6.440 Å; angles 90.00, 90.00, 120.00 degrees
Sites, in units of the cell vectors:
Sb 0.000 0.000 0.022
W 0.667 0.333 0.333
Zr 0.333 0.667 0.645

Calculated values
* uncorrected formation energy: 0.268 eV per atom
* energy above the most stable polymorph in this dataset: 187 meV/atom
* Fermi-level density of states: 2.3 states/eV/cell
* SG: P3m1 (156)
* mass density: 10.28 g/cm³
* VASP energy: -8.2731 eV/atom
* total magnetization: 0.00 μB/f.u.

=====

No. 6
Below is a relaxed structure of Re2SeCl, with properties calculated at the PBE level.

Cell lengths 8.229, 8.229, 8.229 Å; angles 20.91, 20.91, 20.91 degrees
Sites, in units of the cell vectors:
Re 0.505 0.505 0.505
Cl 0.750 0.750 0.750
Se 0.250 0.250 0.250
Re 0.995 0.995 0.995

Calculated values
* uncorrected formation energy: 0.807 eV per atom
* energy above the most stable polymorph in this dataset: 823 meV/atom
* Fermi-level density of states: 4.3 states/eV/cell
* SG: R-3m (166)
* mass density: 13.01 g/cm³
* VASP energy: -6.7496 eV/atom
* total magnetization: 0.00 μB/f.u.

=====

No. 7
Below is a relaxed structure of Cd2SbAs, with properties calculated at the PBE level.

Cell lengths 4.041, 5.035, 4.675 Å; angles 90.00, 90.00, 90.00 degrees
Sites, in units of the cell vectors:
Cd 0.000 0.000 0.000
As 0.000 0.500 0.500
Sb 0.500 0.000 0.500
Cd 0.500 0.500 0.000

Calculated values
* uncorrected formation energy: 0.186 eV per atom
* energy above the most stable polymorph in this dataset: 152 meV/atom
* Fermi-level density of states: 1.3 states/eV/cell
* SG: Pmmm (47)
* mass density: 7.36 g/cm³
* VASP energy: -2.4644 eV/atom
* total magnetization: 0.00 μB/f.u.

=====

No. 8
Below is a relaxed structure of LaErTm2Tl2, with properties calculated at the PBE level.

Cell lengths 5.142, 6.774, 10.071 Å; angles 90.00, 90.00, 90.00 degrees
Sites, in units of the cell vectors:
Tl 0.500 0.222 0.355
Er 0.500 0.680 0.302
Tm 0.000 0.338 0.180
La 0.000 0.455 0.542
Er 0.500 0.180 0.698
Tl 0.000 0.300 0.870
La 0.000 0.955 0.458
Tm 0.000 0.838 0.820
Tl 0.500 0.722 0.645
Tm 0.500 0.051 0.044
Tm 0.500 0.551 0.956
Tl 0.000 0.800 0.130

Calculated values
* Fermi-level density of states: 11.8 states/eV/cell
* formation energy from the elements: -0.26 eV/atom
* SG: Pmc2_1 (26)
* mass density: 9.97 g/cm³
* VASP energy: -4.1183 eV/atom
* total magnetization: 0.00 μB/f.u.

=====

No. 9
Below is a relaxed structure of SmTm8Sc4, with properties calculated at the PBE level.

Cell lengths 7.042, 7.042, 9.615 Å; angles 90.00, 111.48, 120.00 degrees
Sites, in units of the cell vectors:
Sc 0.000 0.500 0.000
Tm 0.496 0.248 0.294
Sc 0.500 0.500 0.000
Tm 0.046 0.248 0.294
Tm 0.954 0.202 0.706
Tm 0.504 0.752 0.706
Tm 0.438 0.219 0.657
Tm 0.046 0.798 0.294
Tm 0.562 0.781 0.343
Sc 0.500 0.000 0.000
Tm 0.954 0.752 0.706
Sc 0.000 0.000 0.000
Sm 0.000 0.500 0.500

Calculated values
* Fermi-level density of states: 17.9 states/eV/cell
* formation energy from the elements: 0.26 eV/atom
* SG: R-3m (166)
* mass density: 7.46 g/cm³
* VASP energy: -4.8076 eV/atom
* total magnetization: 0.00 μB/f.u.

=====

No. 10
Below is a relaxed structure of TbVCr, with properties calculated at the PBE level.

Cell lengths 4.823, 4.823, 5.832 Å; angles 107.03, 107.03, 106.96 degrees
Sites, in units of the cell vectors:
Cr 0.250 0.750 0.500
Tb 0.312 0.688 0.000
V 0.816 0.816 0.631
V 0.184 0.184 0.369
Tb 0.688 0.312 0.000
Cr 0.750 0.250 0.500

Calculated values
* Fermi-level density of states: 6.3 states/eV/cell
* formation energy from the elements: 0.48 eV/atom
* SG: Fmmm (69)
* mass density: 7.70 g/cm³
* VASP energy: -7.3128 eV/atom
* total magnetization: 0.52 μB/f.u.

=====

No. 11
Below is a relaxed structure of PuMnFePt, with properties calculated at the PBE level.

Cell lengths 4.616, 4.616, 4.616 Å; angles 60.00, 60.00, 60.00 degrees
Sites, in units of the cell vectors:
Pu 0.750 0.750 0.750
Pt 0.000 0.000 0.000
Fe 0.500 0.500 0.500
Mn 0.250 0.250 0.250

Calculated values
* Fermi-level density of states: 6.0 states/eV/cell
* formation energy from the elements: -0.07 eV/atom
* SG: F-43m (216)
* mass density: 13.13 g/cm³
* VASP energy: -9.5671 eV/atom
* total magnetization: 7.09 μB/f.u.

=====

No. 12
Below is a relaxed structure of Mg6CdC, with properties calculated at the PBE level.

Cell lengths 6.873, 6.873, 3.410 Å; angles 90.00, 90.00, 96.88 degrees
Sites, in units of the cell vectors:
Mg 0.224 0.466 0.000
Mg 0.534 0.776 0.000
C 0.275 0.725 0.500
Mg 0.894 0.618 0.500
Mg 0.382 0.106 0.500
Cd 0.895 0.105 0.500
Mg 0.664 0.336 0.000
Mg 0.132 0.868 0.000

Calculated values
* energy above the most stable polymorph in this dataset: 0 meV/atom
* Fermi-level density of states: 2.4 states/eV/cell
* formation energy from the elements: 0.27 eV/atom
* SG: Amm2 (38)
* mass density: 2.81 g/cm³
* VASP energy: -2.1902 eV/atom
* total magnetization: 0.00 μB/f.u.

=====

No. 13
Below is a relaxed structure of La2Pm6Dy3Y, with properties calculated at the PBE level.

Cell lengths 6.301, 6.301, 12.043 Å; angles 95.02, 95.02, 120.01 degrees
Sites, in units of the cell vectors:
Pm 0.915 0.582 0.745
Pm 0.753 0.753 0.255
Pm 0.247 0.247 0.745
La 0.333 0.667 0.000
Dy 0.166 0.834 0.500
Pm 0.582 0.915 0.745
Y 0.000 0.000 0.000
Dy 0.500 0.500 0.500
La 0.667 0.333 0.000
Dy 0.834 0.166 0.500
Pm 0.418 0.085 0.255
Pm 0.085 0.418 0.255

Calculated values
* Fermi-level density of states: 17.6 states/eV/cell
* formation energy from the elements: 0.02 eV/atom
* SG: C2/m (12)
* mass density: 7.02 g/cm³
* VASP energy: -4.8669 eV/atom
* total magnetization: 0.00 μB/f.u.

=====

No. 14
Below is a relaxed structure of Pm2CdAu, with properties calculated at the PBE level.

Cell lengths 3.760, 3.760, 7.514 Å; angles 90.00, 90.00, 90.00 degrees
Sites, in units of the cell vectors:
Au 0.500 0.500 0.000
Pm 0.000 0.000 0.764
Cd 0.500 0.500 0.500
Pm 0.000 0.000 0.236

Calculated values
* energy above the most stable polymorph in this dataset: 0 meV/atom
* Fermi-level density of states: 3.6 states/eV/cell
* formation energy from the elements: -0.55 eV/atom
* SG: P4/mmm (123)
* mass density: 9.37 g/cm³
* VASP energy: -3.9735 eV/atom
* total magnetization: 0.00 μB/f.u.

=====

No. 15
Below is a relaxed structure of CrGaRh3, with properties calculated at the PBE level.

Cell lengths 4.466, 4.466, 4.466 Å; angles 90.00, 90.00, 90.00 degrees
Sites, in units of the cell vectors:
Ga 0.000 0.000 0.000
Rh 0.000 0.000 0.500
Rh 0.500 0.000 0.000
Rh 0.000 0.500 0.000
Cr 0.500 0.500 0.500

Calculated values
* energy above the most stable polymorph in this dataset: 387 meV/atom
* Fermi-level density of states: 12.3 states/eV/cell
* formation energy from the elements: 1.12 eV/atom
* SG: Pm-3m (221)
* mass density: 8.02 g/cm³
* VASP energy: -5.8212 eV/atom
* total magnetization: 0.41 μB/f.u.

=====

No. 16
Below is a relaxed structure of BePd2Pb2, with properties calculated at the PBE level.

Cell lengths 7.312, 7.312, 3.867 Å; angles 90.00, 90.00, 90.00 degrees
Sites, in units of the cell vectors:
Pb 0.165 0.335 0.000
Pd 0.136 0.636 0.500
Be 0.000 0.000 0.000
Pb 0.335 0.835 0.000
Pd 0.636 0.864 0.500
Pb 0.835 0.665 0.000
Pd 0.864 0.364 0.500
Be 0.500 0.500 0.000
Pb 0.665 0.165 0.000
Pd 0.364 0.136 0.500

Calculated values
* energy above the most stable polymorph in this dataset: 330 meV/atom
* Fermi-level density of states: 5.1 states/eV/cell
* formation energy from the elements: 0.29 eV/atom
* SG: P4/mbm (127)
* mass density: 10.22 g/cm³
* VASP energy: -4.0152 eV/atom
* total magnetization: 0.00 μB/f.u.

=====

No. 17
Below is a relaxed structure of LiGdInPb, with properties calculated at the PBE level.

Cell lengths 5.250, 5.250, 5.250 Å; angles 60.00, 60.00, 60.00 degrees
Sites, in units of the cell vectors:
Li 0.000 0.000 0.000
In 0.250 0.250 0.250
Pb 0.750 0.750 0.750
Gd 0.500 0.500 0.500

Calculated values
* Fermi-level density of states: 2.6 states/eV/cell
* formation energy from the elements: -0.35 eV/atom
* SG: F-43m (216)
* mass density: 7.89 g/cm³
* VASP energy: -5.9653 eV/atom
* total magnetization: 6.99 μB/f.u.

=====

No. 18
Below is a relaxed structure of SbTeAu2, with properties calculated at the PBE level.

Cell lengths 5.490, 5.490, 5.490 Å; angles 138.29, 115.88, 79.46 degrees
Sites, in units of the cell vectors:
Au 0.003 0.003 0.000
Te 0.750 0.250 0.500
Sb 0.250 0.750 0.500
Au 0.497 0.497 0.000

Calculated values
* uncorrected formation energy: 0.183 eV per atom
* energy above the most stable polymorph in this dataset: 221 meV/atom
* Fermi-level density of states: 2.0 states/eV/cell
* SG: Immm (71)
* mass density: 11.11 g/cm³
* VASP energy: -3.2715 eV/atom
* total magnetization: 0.00 μB/f.u.

=====

No. 19
Below is a relaxed structure of TmPaInSn, with properties calculated at the PBE level.

Cell lengths 5.298, 5.298, 5.298 Å; angles 60.00, 60.00, 60.00 degrees
Sites, in units of the cell vectors:
Pa 0.000 0.000 0.000
Sn 0.250 0.250 0.250
Tm 0.500 0.500 0.500
In 0.750 0.750 0.750

Calculated values
* Fermi-level density of states: 7.3 states/eV/cell
* formation energy from the elements: -0.17 eV/atom
* SG: F-43m (216)
* mass density: 10.00 g/cm³
* VASP energy: -5.3463 eV/atom
* total magnetization: 1.68 μB/f.u.

=====

No. 20
Below is a relaxed structure of AlRe2Cl, with properties calculated at the PBE level.

Cell lengths 9.646, 9.646, 9.646 Å; angles 17.30, 17.30, 17.30 degrees
Sites, in units of the cell vectors:
Re 0.980 0.980 0.980
Cl 0.775 0.775 0.775
Re 0.242 0.242 0.242
Al 0.503 0.503 0.503

Calculated values
* uncorrected formation energy: -0.020 eV per atom
* energy above the most stable polymorph in this dataset: 49 meV/atom
* Fermi-level density of states: 3.3 states/eV/cell
* SG: R3m (160)
* mass density: 10.43 g/cm³
* VASP energy: -7.6412 eV/atom
* total magnetization: 0.00 μB/f.u.